Material: Tl3AgS
Method: DFT, PBE
State: optimized geometry

Cell: 5.455 5.455 5.455 Å, 90.00 90.00 90.00°
Sites, in units of the cell vectors:
Tl1 0.000 0.000 0.500
Tl2 0.000 0.500 0.000
Tl3 0.500 0.000 0.000
Ag1 0.000 0.000 0.000
S1 0.500 0.500 0.500

Results
* excess energy over the best structure of this formula in the dataset: 0 meV per atom
* space-group type: Pm-3m (221)
* E_form (uncorrected): 0.226 eV/atom

Material: NaLiNb2
Method: DFT, PBE
State: optimized geometry

Cell: 11.862 11.862 11.862 Å, 161.76 161.76 25.91°
Sites, in units of the cell vectors:
Na1 0.000 0.000 0.000
Na2 0.750 0.250 0.500
Li1 0.250 0.750 0.500
Li2 0.500 0.500 0.000
Nb1 0.130 0.625 0.005
Nb2 0.375 0.380 0.505
Nb3 0.620 0.125 0.995
Nb4 0.875 0.870 0.495

Results
* excess energy over the best structure of this formula in the dataset: 0 meV per atom
* formation energy: 735 meV/atom
* space-group type: I-42d (122)

Material: FeSiNi2
Method: DFT, PBE
State: optimized geometry

Cell: 4.294 4.294 4.294 Å, 130.65 130.65 72.37°
Sites, in units of the cell vectors:
Fe1 0.000 0.000 0.000
Si1 0.500 0.500 0.000
Ni1 0.250 0.750 0.500
Ni2 0.750 0.250 0.500

Results
* space-group type: I4/mmm (139)
* E_form (uncorrected): -0.303 eV/atom

Material: GdNp2
Method: DFT, PBE
State: optimized geometry

Cell: 5.779 5.779 5.779 Å, 60.00 60.00 60.00°
Sites, in units of the cell vectors:
Gd1 0.125 0.125 0.125
Gd2 0.875 0.875 0.875
Np1 0.000 0.500 0.500
Np2 0.500 0.000 0.500
Np3 0.500 0.500 0.000
Np4 0.500 0.500 0.500

Results
* formation energy: 449 meV/atom
* space-group type: Fd-3m (227)

Material: CdGaN2
Method: DFT, PBE
State: optimized geometry

Cell: 6.501 6.501 6.501 Å, 28.07 28.07 28.07°
Sites, in units of the cell vectors:
Cd1 0.000 0.000 0.000
Ga1 0.500 0.500 0.500
N1 0.111 0.111 0.111
N2 0.889 0.889 0.889

Results
* excess energy over the best structure of this formula in the dataset: 286 meV per atom
* space-group type: R-3m (166)
* E_form (uncorrected): 0.616 eV/atom

Material: YCo2Cu
Method: DFT, PBE
State: optimized geometry

Cell: 4.446 4.446 4.446 Å, 60.00 60.00 60.00°
Sites, in units of the cell vectors:
Y1 0.000 0.000 0.000
Co1 0.500 0.500 0.500
Co2 0.750 0.750 0.750
Cu1 0.250 0.250 0.250

Results
* excess energy over the best structure of this formula in the dataset: 276 meV per atom
* formation energy: 169 meV/atom
* space-group type: F-43m (216)

Material: CuTcO2
Method: DFT, PBE
State: optimized geometry

Cell: 3.779 3.779 3.779 Å, 60.00 60.00 60.00°
Sites, in units of the cell vectors:
Cu1 0.000 0.000 0.000
Tc1 0.500 0.500 0.500
O1 0.250 0.250 0.250
O2 0.750 0.750 0.750

Results
* excess energy over the best structure of this formula in the dataset: 782 meV per atom
* space-group type: Fm-3m (225)
* E_form (uncorrected): -0.082 eV/atom

Material: Zn2PtF
Method: DFT, PBE
State: optimized geometry

Cell: 4.326 4.326 4.326 Å, 60.00 60.00 60.00°
Sites, in units of the cell vectors:
Zn1 0.250 0.250 0.250
Zn2 0.750 0.750 0.750
Pt1 0.000 0.000 0.000
F1 0.500 0.500 0.500

Results
* excess energy over the best structure of this formula in the dataset: 168 meV per atom
* space-group type: Fm-3m (225)
* E_form (uncorrected): -0.605 eV/atom

Material: HoEr2ZrSc4
Method: DFT, PBE
State: optimized geometry

Cell: 4.750 4.765 9.292 Å, 90.00 90.00 90.00°
Sites, in units of the cell vectors:
Ho1 0.000 0.000 0.000
Er1 0.000 0.000 0.500
Er2 0.500 0.500 0.000
Zr1 0.500 0.500 0.500
Sc1 0.000 0.500 0.261
Sc2 0.000 0.500 0.739
Sc3 0.500 0.000 0.261
Sc4 0.500 0.000 0.739

Results
* formation energy: 51 meV/atom
* space-group type: Pmmm (47)

Material: Rb3Ac3ThTe8
Method: DFT, PBE
State: optimized geometry

Cell: 10.336 10.336 10.336 Å, 55.40 55.40 55.40°
Sites, in units of the cell vectors:
Rb1 0.000 0.500 0.500
Rb2 0.500 0.000 0.500
Rb3 0.500 0.500 0.000
Ac1 0.000 0.000 0.500
Ac2 0.000 0.500 0.000
Ac3 0.500 0.000 0.000
Th1 0.500 0.500 0.500
Te1 0.238 0.238 0.238
Te2 0.250 0.726 0.726
Te3 0.274 0.274 0.750
Te4 0.274 0.750 0.274
Te5 0.726 0.250 0.726
Te6 0.726 0.726 0.250
Te7 0.750 0.274 0.274
Te8 0.762 0.762 0.762

Results
* space-group type: R-3m (166)
* E_form (uncorrected): -1.432 eV/atom

Material: CaHg2Pd
Method: DFT, PBE
State: optimized geometry

Cell: 10.878 10.878 10.878 Å, 156.97 156.97 32.79°
Sites, in units of the cell vectors:
Ca1 0.000 0.000 0.000
Ca2 0.750 0.250 0.500
Hg1 0.151 0.625 0.026
Hg2 0.375 0.401 0.526
Hg3 0.599 0.125 0.974
Hg4 0.875 0.849 0.474
Pd1 0.250 0.750 0.500
Pd2 0.500 0.500 0.000

Results
* formation energy: -276 meV/atom
* space-group type: I-42d (122)

Material: Nd3GeTe
Method: DFT, PBE
State: optimized geometry

Cell: 8.399 4.336 8.884 Å, 90.00 96.42 90.00°
Sites, in units of the cell vectors:
Nd1 0.064 0.250 0.313
Nd2 0.316 0.250 0.955
Nd3 0.393 0.750 0.617
Nd4 0.607 0.250 0.383
Nd5 0.684 0.750 0.045
Nd6 0.936 0.750 0.687
Ge1 0.165 0.250 0.640
Ge2 0.835 0.750 0.360
Te1 0.345 0.750 0.230
Te2 0.655 0.250 0.770

Results
* space-group type: P2_1/m (11)
* E_form (uncorrected): -0.868 eV/atom

The records above yield DOS(E_F) values of 0.83 6.92 4.23 16.84 2.28 4.36 3.10 2.02 12.52 0.00 3.75 10.13 states/eV/cell, respectively.
The records above yield V values of 162.4 163.5 44.6 136.4 53.7 62.1 38.2 57.2 210.3 697.4 196.8 321.5 Å³/cell, respectively.